[1]
A plane-wave DFT calculation with PBE was carried out for a geometry-optimized RbBeRh3 structure.

Values from the calculation:
Its raw total energy is -23.65 eV per cell. The polymorph energy (0 for the lowest one) comes out at 0 meV per atom. The formation energy comes out at 3.1 eV per formula unit. For the density of states at the Fermi level, the calculation gives 4.7 states/eV/f.u.

Cell: 4.4149 4.4149 4.4149 Å, 90.00 90.00 90.00°
Fractional positions:
Rb1 0.0000 0.0000 0.0000
Be1 0.5000 0.5000 0.5000
Rh1 0.0000 0.5000 0.5000
Rh2 0.5000 0.0000 0.5000
Rh3 0.5000 0.5000 0.0000

=====

[2]
A plane-wave DFT calculation with PBE was carried out for a geometry-optimized Ti2AgTe structure.

Values from the calculation:
Its raw total energy is -42.77 eV per cell. The formation energy without anion corrections comes out at 0.10 eV per atom. For the density of states at the Fermi level, the calculation gives 3.6 states/eV/f.u.

Cell: 6.0057 6.0057 6.0057 Å, 103.59 103.59 122.02°
Fractional positions:
Ti1 0.1232 0.6250 0.9982
Ti2 0.3750 0.3732 0.4982
Ti3 0.6268 0.1250 0.0018
Ti4 0.8750 0.8768 0.5018
Ag1 0.2500 0.7500 0.5000
Ag2 0.5000 0.5000 0.0000
Te1 0.0000 0.0000 0.0000
Te2 0.7500 0.2500 0.5000

=====

[3]
A plane-wave DFT calculation with PBE was carried out for a geometry-optimized Pa2CuTc2 structure.

Values from the calculation:
Its raw total energy is -44.64 eV per cell. The formation energy comes out at -0.8 eV per formula unit. For the density of states at the Fermi level, the calculation gives 5.0 states/eV/f.u.

Cell: 5.2303 5.2303 5.2303 Å, 130.23 112.49 88.38°
Fractional positions:
Pa1 0.1964 0.1964 0.0000
Pa2 0.8036 0.8036 0.0000
Cu1 0.5000 0.0000 0.5000
Tc1 0.2552 0.5000 0.7552
Tc2 0.7448 0.5000 0.2448

=====

[4]
A plane-wave DFT calculation with PBE was carried out for a geometry-optimized CsNdCuTe2 structure.

Values from the calculation:
Its raw total energy is -39.95 eV per cell. The formation energy without anion corrections comes out at -0.79 eV per atom. For the density of states at the Fermi level, the calculation gives 2.6 states/eV/f.u.

Cell: 9.3425 4.8514 8.7257 Å, 90.00 98.63 90.00°
Fractional positions:
Cs1 0.0000 0.2099 0.2500
Cs2 0.0000 0.7901 0.7500
Nd1 0.5000 0.4929 0.7500
Nd2 0.5000 0.5071 0.2500
Cu1 0.5000 0.0000 0.0000
Cu2 0.5000 0.0000 0.5000
Te1 0.2779 0.2898 0.9670
Te2 0.2779 0.7102 0.4670
Te3 0.7221 0.2898 0.5330
Te4 0.7221 0.7102 0.0330

=====

[5]
A plane-wave DFT calculation with PBE was carried out for a geometry-optimized Li2LaDyGe2 structure.

Values from the calculation:
Its raw total energy is -26.69 eV per cell. The formation energy comes out at -4.1 eV per formula unit. For the density of states at the Fermi level, the calculation gives 1.1 states/eV/f.u.

Cell: 4.4863 4.4863 7.4996 Å, 90.00 90.00 120.00°
Fractional positions:
Li1 0.3333 0.6667 0.2073
Li2 0.6667 0.3333 0.7927
La1 0.0000 0.0000 0.5000
Dy1 0.0000 0.0000 0.0000
Ge1 0.3333 0.6667 0.7673
Ge2 0.6667 0.3333 0.2327

=====

[6]
A plane-wave DFT calculation with PBE was carried out for a geometry-optimized LaZnPt2 structure.

Values from the calculation:
Its raw total energy is -21.03 eV per cell. The formation energy comes out at -2.7 eV per formula unit. For the density of states at the Fermi level, the calculation gives 1.8 states/eV/f.u.

Cell: 5.4269 5.4269 5.4269 Å, 136.84 133.06 65.65°
Fractional positions:
La1 0.0000 0.0000 0.0000
Zn1 0.7370 0.2370 0.5000
Pt1 0.2589 0.7589 0.5000
Pt2 0.5086 0.5086 0.0000

=====

[7]
A plane-wave DFT calculation with PBE was carried out for a geometry-optimized RbCO3 structure.

Values from the calculation:
Its raw total energy is -128.77 eV per cell. The formation energy without anion corrections comes out at -1.43 eV per atom.

Cell: 7.5538 7.5538 8.4560 Å, 112.44 112.44 82.96°
Fractional positions:
Rb1 0.1053 0.8947 0.7500
Rb2 0.3488 0.6512 0.2500
Rb3 0.6512 0.3488 0.7500
Rb4 0.8947 0.1053 0.2500
C1 0.1288 0.3881 0.7126
C2 0.3881 0.1288 0.2126
C3 0.6119 0.8712 0.7874
C4 0.8712 0.6119 0.2874
O1 0.0111 0.2565 0.6752
O2 0.1485 0.5465 0.8489
O3 0.2269 0.3630 0.6111
O4 0.2565 0.0111 0.1752
O5 0.3630 0.2269 0.1111
O6 0.4535 0.8515 0.6511
O7 0.5465 0.1485 0.3489
O8 0.6370 0.7731 0.8889
O9 0.7435 0.9889 0.8248
O10 0.7731 0.6370 0.3889
O11 0.8515 0.4535 0.1511
O12 0.9889 0.7435 0.3248

=====

[8]
A plane-wave DFT calculation with PBE was carried out for a geometry-optimized Cs2KIn2Te4 structure.

Values from the calculation:
Its raw total energy is -27.71 eV per cell. The formation energy without anion corrections comes out at -0.76 eV per atom. For the density of states at the Fermi level, the calculation gives 1.2 states/eV/f.u.

Cell: 9.7250 9.7250 8.9115 Å, 109.30 109.30 30.71°
Fractional positions:
Cs1 0.1223 0.1223 0.0401
Cs2 0.8777 0.8777 0.9599
K1 0.0000 0.0000 0.5000
In1 0.3289 0.3289 0.5111
In2 0.6711 0.6711 0.4889
Te1 0.2100 0.2100 0.6674
Te2 0.4695 0.4695 0.7532
Te3 0.5305 0.5305 0.2468
Te4 0.7900 0.7900 0.3326

=====

[9]
A plane-wave DFT calculation with PBE was carried out for a geometry-optimized Th2AlH4 structure.

Values from the calculation:
Its raw total energy is -70.47 eV per cell. For the density of states at the Fermi level, the calculation gives 2.8 states/eV/f.u.

Cell: 6.2857 6.2857 6.2857 Å, 105.56 105.56 117.61°
Fractional positions:
Th1 0.1651 0.6651 0.8303
Th2 0.3349 0.1651 0.5000
Th3 0.6651 0.8349 0.5000
Th4 0.8349 0.3349 0.1697
Al1 0.2500 0.2500 0.0000
Al2 0.7500 0.7500 0.0000
H1 0.0205 0.7787 0.5000
H2 0.2213 0.7213 0.2418
H3 0.2787 0.5205 0.5000
H4 0.4795 0.9795 0.7582
H5 0.5205 0.0205 0.2418
H6 0.7213 0.4795 0.5000
H7 0.7787 0.2787 0.7582
H8 0.9795 0.2213 0.5000

=====

[10]
A plane-wave DFT calculation with PBE was carried out for a geometry-optimized Mg structure.

Values from the calculation:
Its raw total energy is -1.65 eV per cell. The polymorph energy (0 for the lowest one) comes out at 768 meV per atom. The formation energy comes out at 0.8 eV per formula unit. For the density of states at the Fermi level, the calculation gives 0.9 states/eV/f.u.

Cell: 4.8459 4.8459 4.8459 Å, 60.00 60.00 60.00°
Fractional positions:
Mg1 0.1250 0.1250 0.1250
Mg2 0.8750 0.8750 0.8750

=====

[11]
A plane-wave DFT calculation with PBE was carried out for a geometry-optimized Li2CuPd5 structure.

Values from the calculation:
Its raw total energy is -35.98 eV per cell. The polymorph energy (0 for the lowest one) comes out at 32 meV per atom. The formation energy comes out at -2.1 eV per formula unit. For the density of states at the Fermi level, the calculation gives 5.4 states/eV/f.u.

Cell: 5.3048 5.3048 5.3048 Å, 107.73 107.73 113.02°
Fractional positions:
Li1 0.0000 0.5000 0.5000
Li2 0.5000 0.0000 0.5000
Cu1 0.0008 0.0008 0.0000
Pd1 0.9999 0.9999 0.4996
Pd2 0.9999 0.5004 0.0000
Pd3 0.5004 0.9999 0.0000
Pd4 0.4997 0.4997 0.0000
Pd5 0.5004 0.5004 0.5004

=====

[12]
A plane-wave DFT calculation with PBE was carried out for a geometry-optimized Sc6Ag3Rh structure.

Values from the calculation:
Its raw total energy is -114.63 eV per cell. The formation energy comes out at -3.4 eV per formula unit. For the density of states at the Fermi level, the calculation gives 9.3 states/eV/f.u.

Cell: 8.4435 4.8534 10.4143 Å, 90.00 107.80 90.00°
Fractional positions:
Sc1 0.0338 0.2500 0.4060
Sc2 0.1794 0.7500 0.1784
Sc3 0.2712 0.2500 0.0068
Sc4 0.3441 0.7500 0.8258
Sc5 0.3852 0.2500 0.3414
Sc6 0.3858 0.2500 0.6390
Sc7 0.6142 0.7500 0.3610
Sc8 0.6148 0.7500 0.6586
Sc9 0.6559 0.2500 0.1742
Sc10 0.7288 0.7500 0.9932
Sc11 0.8206 0.2500 0.8216
Sc12 0.9662 0.7500 0.5940
Ag1 0.0157 0.7500 0.8811
Ag2 0.0988 0.2500 0.7215
Ag3 0.2730 0.7500 0.4742
Ag4 0.7270 0.2500 0.5258
Ag5 0.9012 0.7500 0.2785
Ag6 0.9843 0.2500 0.1189
Rh1 0.4578 0.7500 0.0980
Rh2 0.5422 0.2500 0.9020

=====

The lowest raw total energy belongs to which entry?
RbCO3